Entry A
# PBE-GGA VH3Au, optimized geometry
data_VH3Au
_symmetry_space_group_name_H-M 'P m -3 m'
_symmetry_Int_Tables_number 221
_symmetry_space_group_name_Hall '-P 4 2 3'
_cell_length_a 3.6500
_cell_length_b 3.6500
_cell_length_c 3.6500
_cell_angle_alpha 90.00
_cell_angle_beta 90.00
_cell_angle_gamma 90.00
loop_
_atom_site_label
_atom_site_type_symbol
_atom_site_fract_x
_atom_site_fract_y
_atom_site_fract_z
V1 V 0.0000 0.0000 0.0000
H1 H 0.0000 0.5000 0.5000
Au1 Au 0.5000 0.5000 0.5000
# Magnetic moment in μB per formula unit: 3.1

***

Entry B
# PBE-GGA VH3Au, optimized geometry
data_VH3Au
_symmetry_space_group_name_H-M 'P m -3 m'
_symmetry_Int_Tables_number 221
_symmetry_space_group_name_Hall '-P 4 2 3'
_cell_length_a 3.4932
_cell_length_b 3.4932
_cell_length_c 3.4932
_cell_angle_alpha 90.00
_cell_angle_beta 90.00
_cell_angle_gamma 90.00
loop_
_atom_site_label
_atom_site_type_symbol
_atom_site_fract_x
_atom_site_fract_y
_atom_site_fract_z
V1 V 0.0000 0.0000 0.0000
H1 H 0.0000 0.0000 0.5000
Au1 Au 0.5000 0.5000 0.5000
# Magnetic moment in μB per formula unit: 1.3

***

Verdict on stability: entry B comes out on top.

***

Entry A
# PBE-GGA VHAu, optimized geometry
data_VHAu
_symmetry_space_group_name_H-M 'P 3 m 1'
_symmetry_Int_Tables_number 156
_cell_length_a 2.9661
_cell_length_b 2.9661
_cell_length_c 4.5288
_cell_angle_alpha 90.00
_cell_angle_beta 90.00
_cell_angle_gamma 120.00
loop_
_symmetry_equiv_pos_as_xyz
'x,y,z'
'-y,x-y,z'
'-x+y,-x,z'
'-y,-x,z'
'-x+y,y,z'
'x,x-y,z'
loop_
_atom_site_label
_atom_site_type_symbol
_atom_site_fract_x
_atom_site_fract_y
_atom_site_fract_z
V1 V 0.0000 0.0000 0.0000
H1 H 0.6667 0.3333 0.0625
Au1 Au 0.3333 0.6667 0.5120
# Magnetic moment in μB per formula unit: 0.8

***

Entry B
# PBE-GGA VHAu, optimized geometry
data_VHAu
_symmetry_space_group_name_H-M 'P -1'
_symmetry_Int_Tables_number 2
_cell_length_a 3.3513
_cell_length_b 3.3714
_cell_length_c 5.9833
_cell_angle_alpha 91.93
_cell_angle_beta 90.38
_cell_angle_gamma 90.03
loop_
_symmetry_equiv_pos_as_xyz
'x,y,z'
'-x,-y,-z'
loop_
_atom_site_label
_atom_site_type_symbol
_atom_site_fract_x
_atom_site_fract_y
_atom_site_fract_z
V1 V 0.2436 0.2078 0.1181
H1 H 0.2558 0.7133 0.9976
Au1 Au 0.2514 0.2565 0.6277
# Magnetic moment in μB per formula unit: 0.0

***

Verdict on stability: entry B comes out on top.

***

Entry A
# PBE-GGA HWAu3, optimized geometry
data_HWAu3
_symmetry_space_group_name_H-M 'P m -3 m'
_symmetry_Int_Tables_number 221
_symmetry_space_group_name_Hall '-P 4 2 3'
_cell_length_a 5.1024
_cell_length_b 5.1024
_cell_length_c 5.1024
_cell_angle_alpha 90.00
_cell_angle_beta 90.00
_cell_angle_gamma 90.00
loop_
_atom_site_label
_atom_site_type_symbol
_atom_site_fract_x
_atom_site_fract_y
_atom_site_fract_z
H1 H 0.0000 0.0000 0.0000
W1 W 0.5000 0.5000 0.5000
Au1 Au 0.0000 0.5000 0.5000
# Magnetic moment in μB per formula unit: 0.9

***

Entry B
# PBE-GGA HWAu3, optimized geometry
data_HWAu3
_symmetry_space_group_name_H-M 'P m -3 m'
_symmetry_Int_Tables_number 221
_symmetry_space_group_name_Hall '-P 4 2 3'
_cell_length_a 4.1948
_cell_length_b 4.1948
_cell_length_c 4.1948
_cell_angle_alpha 90.00
_cell_angle_beta 90.00
_cell_angle_gamma 90.00
loop_
_atom_site_label
_atom_site_type_symbol
_atom_site_fract_x
_atom_site_fract_y
_atom_site_fract_z
H1 H 0.0000 0.0000 0.0000
W1 W 0.5000 0.5000 0.5000
Au1 Au 0.0000 0.0000 0.5000
# Magnetic moment in μB per formula unit: 0.6

***

Verdict on stability: entry B comes out on top.

***

Entry A
# PBE-GGA H2WAu2, optimized geometry
data_H2WAu2
_symmetry_space_group_name_H-M 'I 4/m m m'
_symmetry_Int_Tables_number 139
_symmetry_space_group_name_Hall '-I 4 2'
_cell_length_a 2.9061
_cell_length_b 2.9061
_cell_length_c 14.0331
_cell_angle_alpha 90.00
_cell_angle_beta 90.00
_cell_angle_gamma 90.00
loop_
_atom_site_label
_atom_site_type_symbol
_atom_site_fract_x
_atom_site_fract_y
_atom_site_fract_z
H1 H 0.0000 0.5000 0.2500
W1 W 0.0000 0.0000 0.0000
Au1 Au 0.0000 0.0000 0.3560
# Magnetic moment in μB per formula unit: 0.0

***

Entry B
# PBE-GGA H2WAu2, optimized geometry
data_H2WAu2
_symmetry_space_group_name_H-M 'P 4/m b m'
_symmetry_Int_Tables_number 127
_symmetry_space_group_name_Hall '-P 4 2ab'
_cell_length_a 7.6883
_cell_length_b 7.6883
_cell_length_c 2.5888
_cell_angle_alpha 90.00
_cell_angle_beta 90.00
_cell_angle_gamma 90.00
loop_
_atom_site_label
_atom_site_type_symbol
_atom_site_fract_x
_atom_site_fract_y
_atom_site_fract_z
H1 H 0.0349 0.4651 0.0000
W1 W 0.0000 0.0000 0.5000
Au1 Au 0.2490 0.2510 0.5000
# Magnetic moment in μB per formula unit: 0.0

***

Verdict on stability: entry A comes out on top.

***

Entry A
# PBE-GGA HWAu2, optimized geometry
data_HWAu2
_symmetry_space_group_name_H-M 'F m -3 m'
_symmetry_Int_Tables_number 225
_symmetry_space_group_name_Hall '-F 4 2 3'
_cell_length_a 6.2788
_cell_length_b 6.2788
_cell_length_c 6.2788
_cell_angle_alpha 90.00
_cell_angle_beta 90.00
_cell_angle_gamma 90.00
loop_
_atom_site_label
_atom_site_type_symbol
_atom_site_fract_x
_atom_site_fract_y
_atom_site_fract_z
H1 H 0.0000 0.0000 0.0000
W1 W 0.0000 0.0000 0.5000
Au1 Au 0.2500 0.2500 0.2500
# Magnetic moment in μB per formula unit: 0.7

***

Entry B
# PBE-GGA HWAu2, optimized geometry
data_HWAu2
_symmetry_space_group_name_H-M 'I -4 2 d'
_symmetry_Int_Tables_number 122
_symmetry_space_group_name_Hall 'I -4 2bw'
_cell_length_a 6.0012
_cell_length_b 6.0012
_cell_length_c 6.4325
_cell_angle_alpha 90.00
_cell_angle_beta 90.00
_cell_angle_gamma 90.00
loop_
_atom_site_label
_atom_site_type_symbol
_atom_site_fract_x
_atom_site_fract_y
_atom_site_fract_z
H1 H 0.0000 0.0000 0.0000
W1 W 0.0000 0.0000 0.5000
Au1 Au 0.1441 0.2500 0.1250
# Magnetic moment in μB per formula unit: 0.0

***

Verdict on stability: entry B comes out on top.

***

Entry A
# PBE-GGA H2WAu, optimized geometry
data_H2WAu
_symmetry_space_group_name_H-M 'F m -3 m'
_symmetry_Int_Tables_number 225
_symmetry_space_group_name_Hall '-F 4 2 3'
_cell_length_a 5.5008
_cell_length_b 5.5008
_cell_length_c 5.5008
_cell_angle_alpha 90.00
_cell_angle_beta 90.00
_cell_angle_gamma 90.00
loop_
_atom_site_label
_atom_site_type_symbol
_atom_site_fract_x
_atom_site_fract_y
_atom_site_fract_z
H1 H 0.2500 0.2500 0.2500
W1 W 0.0000 0.0000 0.0000
Au1 Au 0.0000 0.0000 0.5000
# Magnetic moment in μB per formula unit: 1.3

***

Entry B
# PBE-GGA H2WAu, optimized geometry
data_H2WAu
_symmetry_space_group_name_H-M 'I -4 2 d'
_symmetry_Int_Tables_number 122
_symmetry_space_group_name_Hall 'I -4 2bw'
_cell_length_a 4.5154
_cell_length_b 4.5154
_cell_length_c 8.2306
_cell_angle_alpha 90.00
_cell_angle_beta 90.00
_cell_angle_gamma 90.00
loop_
_atom_site_label
_atom_site_type_symbol
_atom_site_fract_x
_atom_site_fract_y
_atom_site_fract_z
H1 H 0.2111 0.2500 0.1250
W1 W 0.0000 0.0000 0.0000
Au1 Au 0.0000 0.0000 0.5000
# Magnetic moment in μB per formula unit: 0.0

***

Verdict on stability: entry B comes out on top.

***

Entry A
# PBE-GGA HW3Au, optimized geometry
data_HW3Au
_symmetry_space_group_name_H-M 'P m -3 m'
_symmetry_Int_Tables_number 221
_symmetry_space_group_name_Hall '-P 4 2 3'
_cell_length_a 4.0596
_cell_length_b 4.0596
_cell_length_c 4.0596
_cell_angle_alpha 90.00
_cell_angle_beta 90.00
_cell_angle_gamma 90.00
loop_
_atom_site_label
_atom_site_type_symbol
_atom_site_fract_x
_atom_site_fract_y
_atom_site_fract_z
H1 H 0.0000 0.0000 0.0000
W1 W 0.0000 0.0000 0.5000
Au1 Au 0.5000 0.5000 0.5000
# Magnetic moment in μB per formula unit: 0.0

***

Entry B
# PBE-GGA HW3Au, optimized geometry
data_HW3Au
_symmetry_space_group_name_H-M 'P m -3 m'
_symmetry_Int_Tables_number 221
_symmetry_space_group_name_Hall '-P 4 2 3'
_cell_length_a 4.8798
_cell_length_b 4.8798
_cell_length_c 4.8798
_cell_angle_alpha 90.00
_cell_angle_beta 90.00
_cell_angle_gamma 90.00
loop_
_atom_site_label
_atom_site_type_symbol
_atom_site_fract_x
_atom_site_fract_y
_atom_site_fract_z
H1 H 0.0000 0.0000 0.0000
W1 W 0.0000 0.5000 0.5000
Au1 Au 0.5000 0.5000 0.5000
# Magnetic moment in μB per formula unit: 0.0

***

Verdict on stability: entry A comes out on top.

***

Entry A
# PBE-GGA YHAu2, optimized geometry
data_YHAu2
_symmetry_space_group_name_H-M 'I -4 2 d'
_symmetry_Int_Tables_number 122
_symmetry_space_group_name_Hall 'I -4 2bw'
_cell_length_a 6.1733
_cell_length_b 6.1733
_cell_length_c 7.6366
_cell_angle_alpha 90.00
_cell_angle_beta 90.00
_cell_angle_gamma 90.00
loop_
_atom_site_label
_atom_site_type_symbol
_atom_site_fract_x
_atom_site_fract_y
_atom_site_fract_z
Y1 Y 0.0000 0.0000 0.0000
H1 H 0.0000 0.0000 0.5000
Au1 Au 0.1136 0.2500 0.6250
# Magnetic moment in μB per formula unit: 0.0

***

Entry B
# PBE-GGA YHAu2, optimized geometry
data_YHAu2
_symmetry_space_group_name_H-M 'F m -3 m'
_symmetry_Int_Tables_number 225
_symmetry_space_group_name_Hall '-F 4 2 3'
_cell_length_a 6.7618
_cell_length_b 6.7618
_cell_length_c 6.7618
_cell_angle_alpha 90.00
_cell_angle_beta 90.00
_cell_angle_gamma 90.00
loop_
_atom_site_label
_atom_site_type_symbol
_atom_site_fract_x
_atom_site_fract_y
_atom_site_fract_z
Y1 Y 0.0000 0.0000 0.0000
H1 H 0.0000 0.0000 0.5000
Au1 Au 0.2500 0.2500 0.2500
# Magnetic moment in μB per formula unit: 0.0

***

Verdict on stability: entry A comes out on top.

***

Entry A
# PBE-GGA Zn2HAu2, optimized geometry
data_Zn2HAu2
_symmetry_space_group_name_H-M 'P 4/m b m'
_symmetry_Int_Tables_number 127
_symmetry_space_group_name_Hall '-P 4 2ab'
_cell_length_a 5.4765
_cell_length_b 5.4765
_cell_length_c 4.8824
_cell_angle_alpha 90.00
_cell_angle_beta 90.00
_cell_angle_gamma 90.00
loop_
_atom_site_label
_atom_site_type_symbol
_atom_site_fract_x
_atom_site_fract_y
_atom_site_fract_z
Zn1 Zn 0.1732 0.3268 0.0000
H1 H 0.0000 0.0000 0.0000
Au1 Au 0.1758 0.6758 0.5000
# Magnetic moment in μB per formula unit: 0.0

***

Entry B
# PBE-GGA Zn2HAu2, optimized geometry
data_Zn2HAu2
_symmetry_space_group_name_H-M 'P 4/m b m'
_symmetry_Int_Tables_number 127
_symmetry_space_group_name_Hall '-P 4 2ab'
_cell_length_a 5.6515
_cell_length_b 5.6515
_cell_length_c 4.5977
_cell_angle_alpha 90.00
_cell_angle_beta 90.00
_cell_angle_gamma 90.00
loop_
_atom_site_label
_atom_site_type_symbol
_atom_site_fract_x
_atom_site_fract_y
_atom_site_fract_z
Zn1 Zn 0.1599 0.3401 0.0000
H1 H 0.0000 0.0000 0.5000
Au1 Au 0.1767 0.6767 0.5000
# Magnetic moment in μB per formula unit: 0.0

***

Verdict on stability: entry B comes out on top.

***

Entry A
# PBE-GGA ZnH2Au, optimized geometry
data_ZnH2Au
_symmetry_space_group_name_H-M 'F m -3 m'
_symmetry_Int_Tables_number 225
_symmetry_space_group_name_Hall '-F 4 2 3'
_cell_length_a 5.5036
_cell_length_b 5.5036
_cell_length_c 5.5036
_cell_angle_alpha 90.00
_cell_angle_beta 90.00
_cell_angle_gamma 90.00
loop_
_atom_site_label
_atom_site_type_symbol
_atom_site_fract_x
_atom_site_fract_y
_atom_site_fract_z
Zn1 Zn 0.0000 0.0000 0.0000
H1 H 0.2500 0.2500 0.2500
Au1 Au 0.0000 0.0000 0.5000
# Magnetic moment in μB per formula unit: 0.0

***

Entry B
# PBE-GGA ZnH2Au, optimized geometry
data_ZnH2Au
_symmetry_space_group_name_H-M 'I -4 2 d'
_symmetry_Int_Tables_number 122
_symmetry_space_group_name_Hall 'I -4 2bw'
_cell_length_a 3.8390
_cell_length_b 3.8390
_cell_length_c 12.1410
_cell_angle_alpha 90.00
_cell_angle_beta 90.00
_cell_angle_gamma 90.00
loop_
_atom_site_label
_atom_site_type_symbol
_atom_site_fract_x
_atom_site_fract_y
_atom_site_fract_z
Zn1 Zn 0.0000 0.0000 0.0000
H1 H 0.2063 0.2500 0.6250
Au1 Au 0.0000 0.0000 0.5000
# Magnetic moment in μB per formula unit: 0.0

***

Verdict on stability: entry B comes out on top.

***

Entry A
# PBE-GGA Zr2ZnHAu, optimized geometry
data_Zr2ZnHAu
_symmetry_space_group_name_H-M 'P 4/m m m'
_symmetry_Int_Tables_number 123
_symmetry_space_group_name_Hall '-P 4 2'
_cell_length_a 4.3631
_cell_length_b 4.3631
_cell_length_c 4.1865
_cell_angle_alpha 90.00
_cell_angle_beta 90.00
_cell_angle_gamma 90.00
loop_
_atom_site_label
_atom_site_type_symbol
_atom_site_fract_x
_atom_site_fract_y
_atom_site_fract_z
Zr1 Zr 0.0000 0.5000 0.0000
Zn1 Zn 0.0000 0.0000 0.5000
H1 H 0.5000 0.5000 0.0000
Au1 Au 0.5000 0.5000 0.5000
# Magnetic moment in μB per formula unit: 0.0

***

Entry B
# PBE-GGA Zr2ZnHAu, optimized geometry
data_Zr2ZnHAu
_symmetry_space_group_name_H-M 'P 4/m m m'
_symmetry_Int_Tables_number 123
_symmetry_space_group_name_Hall '-P 4 2'
_cell_length_a 4.3205
_cell_length_b 4.3205
_cell_length_c 4.2186
_cell_angle_alpha 90.00
_cell_angle_beta 90.00
_cell_angle_gamma 90.00
loop_
_atom_site_label
_atom_site_type_symbol
_atom_site_fract_x
_atom_site_fract_y
_atom_site_fract_z
Zr1 Zr 0.0000 0.5000 0.0000
Zn1 Zn 0.0000 0.0000 0.5000
H1 H 0.0000 0.0000 0.0000
Au1 Au 0.5000 0.5000 0.5000
# Magnetic moment in μB per formula unit: 0.0

***

Verdict on stability: entry B comes out on top.

***

Entry A
# PBE-GGA ZrHAu3, optimized geometry
data_ZrHAu3
_symmetry_space_group_name_H-M 'P m -3 m'
_symmetry_Int_Tables_number 221
_symmetry_space_group_name_Hall '-P 4 2 3'
_cell_length_a 4.3151
_cell_length_b 4.3151
_cell_length_c 4.3151
_cell_angle_alpha 90.00
_cell_angle_beta 90.00
_cell_angle_gamma 90.00
loop_
_atom_site_label
_atom_site_type_symbol
_atom_site_fract_x
_atom_site_fract_y
_atom_site_fract_z
Zr1 Zr 0.0000 0.0000 0.0000
H1 H 0.5000 0.5000 0.5000
Au1 Au 0.0000 0.5000 0.5000
# Magnetic moment in μB per formula unit: 0.0

***

Entry B
# PBE-GGA ZrHAu3, optimized geometry
data_ZrHAu3
_symmetry_space_group_name_H-M 'P m -3 m'
_symmetry_Int_Tables_number 221
_symmetry_space_group_name_Hall '-P 4 2 3'
_cell_length_a 5.3480
_cell_length_b 5.3480
_cell_length_c 5.3480
_cell_angle_alpha 90.00
_cell_angle_beta 90.00
_cell_angle_gamma 90.00
loop_
_atom_site_label
_atom_site_type_symbol
_atom_site_fract_x
_atom_site_fract_y
_atom_site_fract_z
Zr1 Zr 0.0000 0.0000 0.0000
H1 H 0.5000 0.5000 0.5000
Au1 Au 0.0000 0.0000 0.5000
# Magnetic moment in μB per formula unit: 0.3

***

Verdict on stability: entry A comes out on top.